(1)
A relaxed structure of Mn2Al2Cr. Source: Alexandria via LeMat-Bulk, functional PBE.

## Properties
Its space-group type is P4/mbm, No. 127. Its relative energy among the computed polymorphs is 0.0 meV per atom. Its total DFT energy (no corrections) is -7.05 eV/atom.

Unit cell a=5.801 b=5.801 c=3.958 alpha=90.00 beta=90.00 gamma=90.00
Element x y z (fractional)
1 Mn 0.133 0.367 0.000
2 Mn 0.367 0.867 0.000
3 Mn 0.633 0.133 0.000
4 Mn 0.867 0.633 0.000
5 Al 0.173 0.673 0.500
6 Al 0.327 0.173 0.500
7 Al 0.673 0.827 0.500
8 Al 0.827 0.327 0.500
9 Cr 0.000 0.000 0.000
10 Cr 0.500 0.500 0.000


(2)
A relaxed structure of MnAlCr. Source: Alexandria via LeMat-Bulk, functional PBE.

## Properties
Its space-group type is C2/m, No. 12. Its relative energy among the computed polymorphs is 95.6 meV per atom. Its total DFT energy (no corrections) is -7.64 eV/atom.

Unit cell a=4.782 b=4.782 c=5.911 alpha=108.04 beta=108.04 gamma=34.69
Element x y z (fractional)
1 Mn 0.006 0.006 0.234
2 Mn 0.994 0.994 0.766
3 Al 0.342 0.342 0.409
4 Al 0.658 0.658 0.591
5 Cr 0.338 0.338 0.935
6 Cr 0.662 0.662 0.065


(3)
A relaxed structure of MnAlCr2. Source: Alexandria via LeMat-Bulk, functional PBE.

## Properties
Its space-group type is Cmm2, No. 35. Its total DFT energy (no corrections) is -8.03 eV/atom.

Unit cell a=2.541 b=2.541 c=8.017 alpha=90.00 beta=90.00 gamma=110.40
Element x y z (fractional)
1 Mn 0.000 0.000 0.000
2 Al 0.500 0.500 0.745
3 Cr 0.000 0.000 0.481
4 Cr 0.500 0.500 0.239


(4)
A relaxed structure of MnAlCr2. Source: Alexandria via LeMat-Bulk, functional PBE.

## Properties
Its space-group type is R-3m, No. 166. Its total DFT energy (no corrections) is -7.86 eV/atom.

Unit cell a=8.451 b=8.451 c=8.451 alpha=17.75 beta=17.75 gamma=17.75
Element x y z (fractional)
1 Mn 0.000 0.000 0.000
2 Al 0.500 0.500 0.500
3 Cr 0.255 0.255 0.255
4 Cr 0.745 0.745 0.745


DFT formation energy per entry: 38; -126; 10; 177 meV per atom